[1]
Sc5Ni4Os, relaxed, DFT PBE; SG = No. 123; total DFT energy (no corrections) = -0.2610 Ha/atom; crystal system = tetragonal; formation energy from the elements = -0.50 eV per atom; M_tot = 0.00 μB per atom
1.0
3.187 0.000 0.000
0.000 3.187 0.000
0.000 0.000 15.891
Ni Os Sc
4 1 5
Direct
0.000 0.000 0.400
0.000 0.000 0.600
0.000 0.000 0.797
0.000 0.000 0.203
0.000 0.000 0.000
0.500 0.500 0.500
0.500 0.500 0.301
0.500 0.500 0.099
0.500 0.500 0.901
0.500 0.500 0.699

=====

[2]
ScNiOs3, relaxed, DFT PBE; SG = No. 221; total DFT energy (no corrections) = -0.2899 Ha/atom; crystal system = cubic; formation energy from the elements = 1.27 eV per atom; M_tot = 0.53 μB per atom
1.0
-3.172 -2.741 1.510
-0.035 -2.119 -3.920
3.130 -2.803 1.487
Os Sc Ni
3 1 1
Direct
0.000 0.000 0.500
0.500 0.000 0.000
0.000 0.500 0.000
0.500 0.500 0.500
0.000 0.000 0.000

=====

[3]
Sc4NiOs3, relaxed, DFT PBE; SG = No. 12; total DFT energy (no corrections) = -0.3126 Ha/atom; crystal system = monoclinic; formation energy from the elements = -0.41 eV per atom; M_tot = 0.00 μB per atom
1.0
4.392 0.000 -1.185
-0.315 4.386 -1.165
-0.430 -0.486 7.135
Os Ni Sc
3 1 4
Direct
0.000 0.500 0.000
0.749 0.249 0.499
0.251 0.751 0.501
0.500 0.000 0.000
0.626 0.626 0.252
0.874 0.874 0.748
0.374 0.374 0.748
0.126 0.126 0.252